Entry from Alexandria via LeMat-Bulk: crystalline V4Sn at its relaxed geometry (GGA-PBE).

The total magnetic moment comes out at 0.058 Bohr magnetons per cell. The polymorph energy (0 for the lowest one) comes out at 21.55 kJ/mol of atoms.

The space group is Fmmm (No. 69) and the conventional cell measures 5.329, 7.866 and 7.885 Å, with angles of 90.00, 90.00 and 90.00 degrees. The distinct sites, in fractional coordinates, are V at (0.000, 0.000, 0.162), V at (0.250, 0.250, 0.250) and Sn at (0.000, 0.000, 0.500).